Record 1
This record from Alexandria describes a relaxed structure of Nd2ZrGe3Rh4. The functional is PBE.

Output
The final energy comes out at -70.25 eV for the cell shown. The energy relative to the elements comes out at -20.54 kcal/mol of atoms. The value obtained for the total magnetic moment is 0.00 μB/atom. The calculation puts the volume at 19.21 A^3/atom.

Cell and atoms, written as POSCAR:
```
Nd2ZrGe3Rh4
1.0
4.1808 0.0000 0.0000
0.0000 4.1808 0.0000
0.0000 0.0000 10.9904
Nd Zr Ge Rh
2 1 3 4
Direct
0.5000 0.0000 0.2341 Nd
0.0000 0.5000 0.7659 Nd
0.5000 0.5000 0.5000 Zr
0.0000 0.0000 0.5000 Ge
0.5000 0.0000 0.8761 Ge
0.0000 0.5000 0.1239 Ge
0.5000 0.5000 0.0000 Rh
0.0000 0.0000 0.0000 Rh
0.5000 0.0000 0.6494 Rh
0.0000 0.5000 0.3506 Rh
```

Record 2
This record from Alexandria describes a relaxed structure of Nd5GeRu2. The functional is PBE.

Output
The final energy comes out at -99.83 eV for the cell shown. The energy relative to the elements comes out at -8.38 kcal/mol of atoms. The value obtained for the total magnetic moment is 0.00 μB/atom. The calculation puts the volume at 26.26 A^3/atom.

Cell and atoms, written as POSCAR:
```
Nd5GeRu2
1.0
-4.9621 -5.8717 -1.5977
3.6048 -4.4972 5.3321
-3.5762 7.4724 2.9390
Nd Ge Ru
10 2 4
Direct
0.5251 0.6963 0.7214 Nd
0.8037 0.9749 0.2786 Nd
0.0000 0.0000 0.0000 Nd
0.5000 0.5000 0.0000 Nd
0.1963 0.0251 0.7214 Nd
0.6963 0.1963 0.7214 Nd
0.0251 0.5251 0.7214 Nd
0.3037 0.8037 0.2786 Nd
0.9749 0.4749 0.2786 Nd
0.4749 0.3037 0.2786 Nd
0.7500 0.7500 0.5000 Ge
0.2500 0.2500 0.5000 Ge
0.1352 0.3648 0.0000 Ru
0.6352 0.1352 0.0000 Ru
0.3648 0.8648 0.0000 Ru
0.8648 0.6352 0.0000 Ru
```

Record 3
This record from Alexandria describes a relaxed structure of Nd4Ge6Ru7. The functional is PBE.

Output
The final energy comes out at -120.60 eV for the cell shown. The energy relative to the elements comes out at -12.06 kcal/mol of atoms. The value obtained for the total magnetic moment is 0.00 μB/atom. The calculation puts the volume at 18.22 A^3/atom.

Cell and atoms, written as POSCAR:
```
Nd4Ge6Ru7
1.0
6.9605 0.0000 -2.4609
-3.4803 6.0280 -2.4609
0.0000 0.0000 7.3827
Nd Ge Ru
4 6 7
Direct
0.5000 0.0000 0.0000 Nd
0.5000 0.5000 0.5000 Nd
0.0000 0.5000 0.0000 Nd
0.0000 0.0000 0.5000 Nd
0.6783 0.0000 0.6783 Ge
0.6783 0.6783 0.0000 Ge
0.0000 0.3217 0.3217 Ge
0.3217 0.0000 0.3217 Ge
0.3217 0.3217 0.0000 Ge
0.0000 0.6783 0.6783 Ge
0.7500 0.5000 0.2500 Ru
0.2500 0.7500 0.5000 Ru
0.5000 0.7500 0.2500 Ru
0.7500 0.2500 0.5000 Ru
0.2500 0.5000 0.7500 Ru
0.5000 0.2500 0.7500 Ru
0.0000 0.0000 0.0000 Ru
```

Record 4
This record from Alexandria describes a relaxed structure of Nd3Ge3Ru. The functional is PBE.

Output
The final energy comes out at -85.64 eV for the cell shown. The energy relative to the elements comes out at -17.75 kcal/mol of atoms. The value obtained for the total magnetic moment is 0.00 μB/atom. The calculation puts the volume at 23.40 A^3/atom.

Cell and atoms, written as POSCAR:
```
Nd3Ge3Ru
1.0
-3.3991 -2.2215 1.6620
0.4064 -0.4852 5.9741
-8.3344 10.3495 2.5797
Nd Ge Ru
6 6 2
Direct
0.5235 0.3306 0.6225 Nd
0.4765 0.6694 0.3775 Nd
0.2541 0.2616 0.2302 Nd
0.7459 0.7384 0.7698 Nd
0.4012 0.2782 0.9195 Nd
0.5988 0.7218 0.0805 Nd
0.8570 0.7406 0.5453 Ge
0.1430 0.2594 0.4547 Ge
0.1183 0.8375 0.9259 Ge
0.8817 0.1625 0.0741 Ge
0.9464 0.8659 0.2413 Ge
0.0536 0.1341 0.7587 Ge
0.7558 0.0729 0.4155 Ru
0.2442 0.9271 0.5845 Ru
```

Record 5
This record from Alexandria describes a relaxed structure of Nd2Ge6Ru. The functional is PBE.

Output
The final energy comes out at -50.79 eV for the cell shown. The energy relative to the elements comes out at -10.94 kcal/mol of atoms. The value obtained for the total magnetic moment is 0.00 μB/atom. The energy above the most stable polymorph in this dataset is 0 meV/atom. The calculation puts the volume at 19.70 A^3/atom.

Cell and atoms, written as POSCAR:
```
Nd2Ge6Ru
1.0
-4.3665 1.0280 3.1820
2.7304 -2.8218 4.6673
3.5314 3.1718 3.8301
Nd Ge Ru
2 6 1
Direct
0.8157 0.6672 0.6672 Nd
0.1843 0.3328 0.3328 Nd
0.3107 0.3583 0.8202 Ge
0.3112 0.8208 0.8208 Ge
0.3107 0.8202 0.3583 Ge
0.6893 0.6417 0.1798 Ge
0.6888 0.1792 0.1792 Ge
0.6893 0.1798 0.6417 Ge
0.0000 0.0000 0.0000 Ru
```

Record 6
This record from Alexandria describes a relaxed structure of NdGe3Ru3. The functional is PBE.

Output
The final energy comes out at -92.61 eV for the cell shown. The energy relative to the elements comes out at 0.48 kcal/mol of atoms. The value obtained for the total magnetic moment is 0.00 μB/atom. The energy above the most stable polymorph in this dataset is 226 meV/atom. The calculation puts the volume at 21.38 A^3/atom.

Cell and atoms, written as POSCAR:
```
NdGe3Ru3
1.0
6.6893 0.0000 0.0000
0.0000 6.6893 0.0000
0.0000 0.0000 6.6893
Ru Ge Nd
6 6 2
Direct
0.2500 0.0000 0.5000 Ru
0.0000 0.5000 0.2500 Ru
0.5000 0.7500 0.0000 Ru
0.7500 0.0000 0.5000 Ru
0.0000 0.5000 0.7500 Ru
0.5000 0.2500 0.0000 Ru
0.0000 0.2500 0.5000 Ge
0.0000 0.7500 0.5000 Ge
0.5000 0.0000 0.7500 Ge
0.7500 0.5000 0.0000 Ge
0.5000 0.0000 0.2500 Ge
0.2500 0.5000 0.0000 Ge
0.5000 0.5000 0.5000 Nd
0.0000 0.0000 0.0000 Nd
```

Record 7
This record from Alexandria describes a relaxed structure of NdGe2Ru2. The functional is PBE.

Output
The final energy comes out at -35.87 eV for the cell shown. The energy relative to the elements comes out at -15.28 kcal/mol of atoms. The value obtained for the total magnetic moment is 0.00 μB/atom. The calculation puts the volume at 18.61 A^3/atom.

Cell and atoms, written as POSCAR:
```
NdGe2Ru2
1.0
5.8793 -0.0105 0.0000
2.7441 5.1997 0.0000
-4.3117 -2.5946 3.0403
Nd Ge Ru
1 2 2
Direct
0.0000 0.0000 0.0000 Nd
0.6328 0.6328 0.0000 Ge
0.3672 0.3672 0.0000 Ge
0.2500 0.7500 0.5000 Ru
0.7500 0.2500 0.5000 Ru
```

Record 8
This record from Alexandria describes a relaxed structure of Nd2GeRu2. The functional is PBE.

Output
The final energy comes out at -69.80 eV for the cell shown. The energy relative to the elements comes out at -10.13 kcal/mol of atoms. The value obtained for the total magnetic moment is 0.00 μB/atom. The calculation puts the volume at 21.67 A^3/atom.

Cell and atoms, written as POSCAR:
```
Nd2GeRu2
1.0
-3.2108 4.3082 -1.8434
-1.3508 -2.6474 4.9178
5.5375 5.1122 2.3027
Nd Ge Ru
4 2 4
Direct
0.4927 0.2873 0.1439 Nd
0.2053 0.7127 0.3561 Nd
0.5073 0.7127 0.8561 Nd
0.7947 0.2873 0.6439 Nd
0.8899 0.0000 0.2500 Ge
0.1101 0.0000 0.7500 Ge
0.7106 0.7222 0.4889 Ru
0.9884 0.2778 0.0111 Ru
0.2894 0.2778 0.5111 Ru
0.0116 0.7222 0.9889 Ru
```

Record 9
This record from Alexandria describes a relaxed structure of Nd2Ge4Ru3. The functional is PBE.

Output
The final energy comes out at -60.05 eV for the cell shown. The energy relative to the elements comes out at -10.80 kcal/mol of atoms. The value obtained for the total magnetic moment is 0.00 μB/atom. The calculation puts the volume at 19.38 A^3/atom.

Cell and atoms, written as POSCAR:
```
Nd2Ge4Ru3
1.0
5.6751 -0.1340 0.0000
-2.7562 4.9627 0.0000
-1.4595 -2.4143 6.2754
Nd Ge Ru
2 4 3
Direct
0.6328 0.6328 0.2655 Nd
0.3672 0.3672 0.7345 Nd
0.0194 0.6743 0.6937 Ge
0.6743 0.0194 0.6937 Ge
0.9806 0.3257 0.3063 Ge
0.3257 0.9806 0.3063 Ge
0.5000 0.0000 0.0000 Ru
0.0000 0.0000 0.0000 Ru
0.0000 0.5000 0.0000 Ru
```

Record 10
This record from Alexandria describes a relaxed structure of Nd2Ge6Ru. The functional is PBE.

Output
The final energy comes out at -50.44 eV for the cell shown. The energy relative to the elements comes out at -10.07 kcal/mol of atoms. The value obtained for the total magnetic moment is 0.00 μB/atom. The energy above the most stable polymorph in this dataset is 38 meV/atom. The calculation puts the volume at 21.39 A^3/atom.

Cell and atoms, written as POSCAR:
```
Nd2Ge6Ru
1.0
0.5266 -3.8865 -0.7403
1.9709 -0.4513 3.7714
-10.1568 -0.3303 5.2685
Nd Ge Ru
2 6 1
Direct
0.3346 0.0000 0.6691 Nd
0.9970 0.0000 0.9941 Nd
0.7157 0.0000 0.4314 Ge
0.2099 0.5000 0.4197 Ge
0.0984 0.5000 0.1969 Ge
0.6043 0.0000 0.2086 Ge
0.4536 0.5000 0.9072 Ge
0.8828 0.5000 0.7656 Ge
0.7727 0.5000 0.5454 Ru
```

Record 11
This record from Alexandria describes a relaxed structure of Nd2Ge2Ru. The functional is PBE.

Output
The final energy comes out at -63.44 eV for the cell shown. The energy relative to the elements comes out at -16.95 kcal/mol of atoms. The value obtained for the total magnetic moment is 0.00 μB/atom. The calculation puts the volume at 22.61 A^3/atom.

Cell and atoms, written as POSCAR:
```
Nd2Ge2Ru
1.0
-0.0700 -4.0972 -1.4923
4.5709 -3.2158 2.2533
-5.0279 -4.6234 6.5836
Ru Ge Nd
2 4 4
Direct
0.2740 0.0738 0.3765 Ru
0.7260 0.9262 0.6235 Ru
0.5038 0.8647 0.1276 Ge
0.6528 0.2600 0.4333 Ge
0.4962 0.1353 0.8724 Ge
0.3472 0.7400 0.5667 Ge
0.1849 0.7397 0.8900 Nd
0.9962 0.3330 0.6745 Nd
0.8151 0.2603 0.1100 Nd
0.0038 0.6670 0.3255 Nd
```

Record 12
This record from Alexandria describes a relaxed structure of NdGe3Ru5. The functional is PBE.

Output
The final energy comes out at -134.26 eV for the cell shown. The energy relative to the elements comes out at -5.46 kcal/mol of atoms. The value obtained for the total magnetic moment is 0.00 μB/atom. The calculation puts the volume at 17.39 A^3/atom.

Cell and atoms, written as POSCAR:
```
NdGe3Ru5
1.0
-0.0543 -0.4886 -4.0820
6.5440 0.8241 1.8848
1.0559 -11.5017 1.3627
Nd Ge Ru
2 6 10
Direct
0.8135 0.6270 0.7500 Nd
0.1865 0.3730 0.2500 Nd
0.3759 0.7519 0.9452 Ge
0.8826 0.7653 0.2500 Ge
0.3759 0.7519 0.5548 Ge
0.6241 0.2481 0.4452 Ge
0.1174 0.2347 0.7500 Ge
0.6241 0.2481 0.0548 Ge
0.8078 0.6155 0.4405 Ru
0.1922 0.3845 0.9405 Ru
0.0000 0.0000 0.5000 Ru
0.0000 0.0000 0.0000 Ru
0.4525 0.9049 0.1442 Ru
0.5475 0.0951 0.8558 Ru
0.5475 0.0951 0.6442 Ru
0.8078 0.6155 0.0595 Ru
0.1922 0.3845 0.5595 Ru
0.4525 0.9049 0.3558 Ru
```

- The lowest final energy belongs to which entry?
  NdGe3Ru5

- Which of these has the lowest final energy?
  NdGe3Ru5

- Which of these has the lowest energy relative to the elements?
  Nd2ZrGe3Rh4

- The highest final energy belongs to which entry?
  NdGe2Ru2